DFT (PBE-GGA) results for a relaxed Mn2Sn2Pd7 crystal.

Calculated values
Theoretical density in g/cm³: 9.40
DOS(E_F) in states/eV/f.u.: 5.52
Calculated formation energy in eV/atom: -0.1728

Unit cell a=6.4162 b=4.8056 c=6.4162 alpha=95.49 beta=100.57 gamma=84.51
With the nearest neighbours (Å) after each atom.
Fractional coordinates of all 11 atoms:
Pd: 0.6045 0.2393 0.0432  1 Sn 2.65, 3 Mn 2.66-2.84, 5 Pd 2.70-2.89
Pd: 0.9568 0.2393 0.3955  1 Sn 2.65, 3 Mn 2.66-2.84, 5 Pd 2.70-2.89
Pd: 0.0000 0.0000 0.0000  4 Pd 2.73, 4 Sn 2.96, 2 Mn 2.98
Pd: 0.5501 0.2306 0.4499  4 Pd 2.54-2.70, 2 Sn 2.72, 1 Mn 2.79
Pd: 0.0432 0.7607 0.6045  1 Sn 2.65, 3 Mn 2.66-2.84, 5 Pd 2.70-2.89
Pd: 0.3955 0.7607 0.9568  1 Sn 2.65, 3 Mn 2.66-2.84, 5 Pd 2.70-2.89
Mn: 0.7390 0.7473 0.2610  9 Pd 2.66-2.98
Pd: 0.4499 0.7694 0.5501  4 Pd 2.54-2.70, 2 Sn 2.72, 1 Mn 2.79
Sn: 0.2099 0.5000 0.2099  6 Pd 2.65-2.96
Mn: 0.2610 0.2527 0.7390  9 Pd 2.66-2.98
Sn: 0.7901 0.5000 0.7901  6 Pd 2.65-2.96